Record 1
Compound: Pr4Dy2Tm3
Source: Alexandria via LeMat-Bulk
Functional: PBE
Structure: optimized geometry

## Properties
- size of the total moment (μB/cell) = 0.00
- polymorph energy (0 for the lowest one) (meV per atom) = 71
- energy of formation (eV/atom) = 0.0883

a = 10.0616 Å, b = 10.0616 Å, c = 6.2126 Å
α = 94.96°, β = 94.96°, γ = 71.71°
With the nearest neighbours (Å) after each atom.
Atoms (fractional coordinates):
Pr 0.0942 0.8076 0.9862  3 Pr 3.33-3.49, 4 Tm 3.46-3.56
Pr 0.1924 0.9058 0.5138  3 Pr 3.33-3.49, 4 Tm 3.46-3.56
Pr 0.2378 0.5186 0.6776  1 Pr 3.33, 4 Tm 3.43-3.52, 3 Dy 3.47-3.64
Pr 0.4814 0.7622 0.8224  1 Pr 3.33, 4 Tm 3.43-3.52, 3 Dy 3.47-3.64
Pr 0.5186 0.2378 0.1776  1 Pr 3.33, 4 Tm 3.43-3.52, 3 Dy 3.47-3.64
Pr 0.7622 0.4814 0.3224  1 Pr 3.33, 4 Tm 3.43-3.52, 3 Dy 3.47-3.64
Pr 0.8076 0.0942 0.4862  3 Pr 3.33-3.49, 4 Tm 3.46-3.56
Pr 0.9058 0.1924 0.0138  3 Pr 3.33-3.49, 4 Tm 3.46-3.56
Dy 0.1437 0.4224 0.1508  1 Dy 3.32, 4 Tm 3.40-3.56, 3 Pr 3.47-3.64
Dy 0.4224 0.1437 0.6508  1 Dy 3.32, 4 Tm 3.40-3.56, 3 Pr 3.47-3.64
Dy 0.5776 0.8563 0.3492  1 Dy 3.32, 4 Tm 3.40-3.56, 3 Pr 3.47-3.64
Dy 0.8563 0.5776 0.8492  1 Dy 3.32, 4 Tm 3.40-3.56, 3 Pr 3.47-3.64
Tm 0.0663 0.2688 0.5899  4 Dy 3.40-3.81, 5 Pr 3.45-3.56
Tm 0.2688 0.0663 0.0899  4 Dy 3.40-3.81, 5 Pr 3.45-3.56
Tm 0.4031 0.5969 0.2500  6 Pr 3.43-3.52, 2 Dy 3.56
Tm 0.5969 0.4031 0.7500  6 Pr 3.43-3.52, 2 Dy 3.56
Tm 0.7312 0.9337 0.9101  4 Dy 3.40-3.81, 5 Pr 3.45-3.56
Tm 0.9337 0.7312 0.4101  4 Dy 3.40-3.81, 5 Pr 3.45-3.56

=====

Record 2
Compound: La6InHg
Source: Alexandria via LeMat-Bulk
Functional: PBE
Structure: optimized geometry

## Properties
- size of the total moment (μB/cell) = 0.00
- polymorph energy (0 for the lowest one) (meV per atom) = 36
- energy of formation (eV/atom) = -0.2050

a = 6.4297 Å, b = 6.4459 Å, c = 6.4516 Å
α = 92.67°, β = 92.73°, γ = 92.77°
With the nearest neighbours (Å) after each atom.
Atoms (fractional coordinates):
La 0.0229 0.0466 0.2467  2 La 3.21-3.38, 1 Hg 3.29, 1 In 3.54
La 0.2527 0.4735 0.9540  2 La 3.21-3.36, 1 Hg 3.30, 1 In 3.53
La 0.4565 0.7518 0.4721  2 La 3.22-3.35, 1 Hg 3.30, 1 In 3.52
La 0.5435 0.2482 0.5279  2 La 3.22-3.35, 1 Hg 3.30, 1 In 3.52
La 0.7473 0.5265 0.0460  2 La 3.21-3.36, 1 Hg 3.30, 1 In 3.53
La 0.9771 0.9534 0.7533  2 La 3.21-3.38, 1 Hg 3.29, 1 In 3.54
In 0.5000 0.0000 0.0000  12 La 3.52-3.69
Hg 0.0000 0.5000 0.5000  6 La 3.29-3.30